Here is crystalline LiNiO at its relaxed geometry from Alexandria. Energies are from PBE+U.

Properties
Calculated total energy in eV/atom: -4.045
DOS(E_F) in states/eV per atom: 0.213

a b c (Å): 2.710 3.052 7.012
angles (deg): 90.00 90.00 90.00
Space group Pmmn (No. 59, origin choice 2)
Asymmetric unit:
1 Li 0.250 0.250 0.104
2 Ni 0.250 0.750 0.384
3 O 0.250 0.250 0.820